1.
Compound: Pr2In3Au
Source: Alexandria
Functional: GGA-PBE
Structure: optimized geometry

Space-group type: No. 69
ΔE_f in eV per formula unit: -3.39
Energy above the most stable polymorph in this dataset in meV/atom: 14

a b c (Å): 6.2166 6.2166 9.8537
angles (deg): 113.20 113.20 75.60
Closest atoms and distances in Å follow each position.
Atoms (fractional coordinates):
In: 0.8307 0.8307 0.1697  1 Au 2.81, 2 In 2.88-2.90
In: 0.8313 0.8313 0.6626  1 Au 2.78, 2 In 2.88
In: 0.3390 0.3390 0.1697  1 Au 2.81, 2 In 2.88-2.90
In: 0.1687 0.1687 0.3374  1 Au 2.78, 2 In 2.88
In: 0.1693 0.1693 0.8303  1 Au 2.81, 2 In 2.88-2.90
In: 0.6610 0.6610 0.8303  1 Au 2.81, 2 In 2.88-2.90
Au: 0.6684 0.6684 0.3368  3 In 2.78-2.81
Au: 0.3316 0.3316 0.6632  3 In 2.78-2.81
Pr: 0.2570 0.7430 0.0000  10 In 3.37-3.49, 2 Au 3.42, 1 Pr 3.70
Pr: 0.7500 0.2500 0.5000  8 In 3.40, 4 Au 3.41, 2 Pr 3.81
Pr: 0.2500 0.7500 0.5000  8 In 3.40, 4 Au 3.41, 2 Pr 3.81
Pr: 0.7430 0.2570 0.0000  10 In 3.37-3.49, 2 Au 3.42, 1 Pr 3.70

2.
Compound: Nb3Al3B
Source: Alexandria
Functional: GGA-PBE
Structure: optimized geometry

Space-group type: No. 227
ΔE_f in eV per formula unit: -2.82

a b c (Å): 8.4884 8.4884 8.4884
angles (deg): 60.00 60.00 60.00
Closest atoms and distances in Å follow each position.
Atoms (fractional coordinates):
Nb: 0.1898 0.1898 0.8102  2 B 2.26
Nb: 0.0602 0.4398 0.4398  2 B 2.26
Nb: 0.8102 0.1898 0.8102  2 B 2.26
Nb: 0.1898 0.8102 0.1898  2 B 2.26
Nb: 0.1898 0.8102 0.8102  2 B 2.26
Nb: 0.0602 0.4398 0.0602  2 B 2.26
Nb: 0.8102 0.1898 0.1898  2 B 2.26
Nb: 0.4398 0.0602 0.4398  2 B 2.26
Nb: 0.4398 0.4398 0.0602  2 B 2.26
Nb: 0.0602 0.0602 0.4398  2 B 2.26
Nb: 0.4398 0.0602 0.0602  2 B 2.26
Nb: 0.8102 0.8102 0.1898  2 B 2.26
Al: 0.4114 0.4114 0.4114  3 Al 2.64, 3 Nb 2.76
Al: 0.1250 0.6250 0.6250  6 Al 2.64
Al: 0.6250 0.6250 0.1250  6 Al 2.64
Al: 0.6250 0.1250 0.6250  6 Al 2.64
Al: 0.8386 0.8386 0.4843  3 Al 2.64, 3 Nb 2.76
Al: 0.4114 0.4114 0.7657  3 Al 2.64, 3 Nb 2.76
Al: 0.4843 0.8386 0.8386  3 Al 2.64, 3 Nb 2.76
Al: 0.4114 0.7657 0.4114  3 Al 2.64, 3 Nb 2.76
Al: 0.6250 0.6250 0.6250  6 Al 2.64
Al: 0.8386 0.8386 0.8386  3 Al 2.64, 3 Nb 2.76
Al: 0.7657 0.4114 0.4114  3 Al 2.64, 3 Nb 2.76
Al: 0.8386 0.4843 0.8386  3 Al 2.64, 3 Nb 2.76
B: 0.6250 0.1250 0.1250  6 Nb 2.26
B: 0.1250 0.1250 0.1250  6 Nb 2.26
B: 0.1250 0.1250 0.6250  6 Nb 2.26
B: 0.1250 0.6250 0.1250  6 Nb 2.26

3.
Compound: Al3MoC
Source: Alexandria
Functional: GGA-PBE
Structure: optimized geometry

Space-group type: No. 221
ΔE_f in eV per formula unit: 2.32
Energy above the most stable polymorph in this dataset in meV/atom: 0

a b c (Å): 4.0642 4.0642 4.0642
angles (deg): 90.00 90.00 90.00
Closest atoms and distances in Å follow each position.
Atoms (fractional coordinates):
Al: 0.0000 0.5000 0.0000  2 C 2.03
Al: 0.0000 0.0000 0.5000  2 C 2.03
Al: 0.5000 0.0000 0.0000  2 C 2.03
Mo: 0.5000 0.5000 0.5000  12 Al 2.87
C: 0.0000 0.0000 0.0000  6 Al 2.03

4.
Compound: Pm4Y15Th
Source: Alexandria
Functional: GGA-PBE
Structure: optimized geometry

Space-group type: No. 123
ΔE_f in eV per formula unit: 0.49

a b c (Å): 5.0853 5.0853 25.3082
angles (deg): 90.00 90.00 90.00
Closest atoms and distances in Å follow each position.
Atoms (fractional coordinates):
Y: 0.5000 0.5000 0.1996  8 Y 3.58-3.62, 4 Pm 3.60
Y: 0.5000 0.0000 0.0979  2 Th 3.55, 8 Y 3.55-3.62, 2 Pm 3.61
Y: 0.5000 0.0000 0.9021  2 Th 3.55, 8 Y 3.55-3.62, 2 Pm 3.61
Y: 0.5000 0.5000 0.0000  8 Y 3.55, 4 Th 3.60
Y: 0.0000 0.5000 0.0979  2 Th 3.55, 8 Y 3.55-3.62, 2 Pm 3.61
Y: 0.5000 0.5000 0.8004  8 Y 3.58-3.62, 4 Pm 3.60
Y: 0.0000 0.5000 0.2994  8 Y 3.58-3.60, 4 Pm 3.59-3.60
Y: 0.5000 0.0000 0.7006  8 Y 3.58-3.60, 4 Pm 3.59-3.60
Y: 0.5000 0.0000 0.5000  4 Pm 3.59, 8 Y 3.59-3.60
Y: 0.0000 0.5000 0.5000  4 Pm 3.59, 8 Y 3.59-3.60
Y: 0.0000 0.5000 0.9021  2 Th 3.55, 8 Y 3.55-3.62, 2 Pm 3.61
Y: 0.0000 0.5000 0.7006  8 Y 3.58-3.60, 4 Pm 3.59-3.60
Y: 0.5000 0.0000 0.2994  8 Y 3.58-3.60, 4 Pm 3.59-3.60
Y: 0.5000 0.5000 0.3997  8 Y 3.59, 4 Pm 3.60
Y: 0.5000 0.5000 0.6003  8 Y 3.59, 4 Pm 3.60
Pm: 0.0000 0.0000 0.1991  12 Y 3.59-3.61
Pm: 0.0000 0.0000 0.3998  12 Y 3.59-3.60
Pm: 0.0000 0.0000 0.6002  12 Y 3.59-3.60
Pm: 0.0000 0.0000 0.8009  12 Y 3.59-3.61
Th: 0.0000 0.0000 0.0000  12 Y 3.55-3.60

5.
Compound: Sm4DyAu2
Source: Alexandria
Functional: GGA-PBE
Structure: optimized geometry

Space-group type: No. 166
ΔE_f in eV per formula unit: -1.57

a b c (Å): 5.3901 5.3901 9.1958
angles (deg): 72.96 72.96 60.00
Closest atoms and distances in Å follow each position.
Atoms (fractional coordinates):
Au: 0.3932 0.3932 0.8204  1 Dy 2.77, 1 Sm 2.91
Au: 0.6068 0.6068 0.1796  1 Dy 2.77, 1 Sm 2.91
Sm: 0.8763 0.8763 0.3712  3 Dy 3.31, 3 Au 3.53, 3 Sm 3.63
Sm: 0.7187 0.7187 0.8439  4 Au 2.91-3.12
Sm: 0.1237 0.1237 0.6288  3 Dy 3.31, 3 Au 3.53, 3 Sm 3.63
Sm: 0.2813 0.2813 0.1561  4 Au 2.91-3.12
Dy: 0.5000 0.5000 0.5000  2 Au 2.77

6.
Compound: Ho2Er2Pd
Source: Alexandria
Functional: GGA-PBE
Structure: optimized geometry

Space-group type: No. 12
ΔE_f in eV per formula unit: -1.31

a b c (Å): 7.5608 6.9841 7.7443
angles (deg): 73.22 57.77 57.23
Closest atoms and distances in Å follow each position.
Atoms (fractional coordinates):
Er: 0.1446 0.0000 0.6088  2 Pd 2.97
Er: 0.8554 0.0000 0.3912  2 Pd 2.97
Er: 0.3761 0.0000 0.8832  2 Pd 2.86
Er: 0.6239 0.0000 0.1168  2 Pd 2.86
Ho: 0.0052 0.4326 0.2493  1 Pd 2.74
Ho: 0.5622 0.4326 0.7507  1 Pd 2.74
Ho: 0.4378 0.5674 0.2493  1 Pd 2.74
Ho: 0.9948 0.5674 0.7507  1 Pd 2.74
Pd: 0.1205 0.7589 0.0000  2 Ho 2.74, 1 Pd 2.83, 4 Er 2.86-2.97
Pd: 0.8795 0.2411 0.0000  2 Ho 2.74, 1 Pd 2.83, 4 Er 2.86-2.97

7.
Compound: SrLiAs2
Source: Alexandria
Functional: GGA-PBE
Structure: optimized geometry

Space-group type: No. 139
ΔE_f in eV per formula unit: -2.32
Energy above the most stable polymorph in this dataset in meV/atom: 192

a b c (Å): 5.3890 5.3890 5.3890
angles (deg): 129.52 129.50 74.20
Closest atoms and distances in Å follow each position.
Atoms (fractional coordinates):
Sr: 0.2500 0.7500 0.5000  8 As 3.15, 4 Li 3.25
As: 0.5001 0.5001 0.0000  4 Li 3.15, 4 Sr 3.15, 4 As 3.25
As: 0.9999 0.9999 0.0000  4 Li 3.15, 4 Sr 3.15, 4 As 3.25
Li: 0.7500 0.2500 0.5000  8 As 3.15, 4 Sr 3.25

8.
Compound: LaNiPS2
Source: Alexandria
Functional: GGA-PBE
Structure: optimized geometry

Space-group type: No. 123
Formation energy (no corrections) in eV per atom: 0.71
Energy above the most stable polymorph in this dataset in meV/atom: 1518

a b c (Å): 5.4595 5.4595 5.6200
angles (deg): 90.00 90.00 90.00
Closest atoms and distances in Å follow each position.
Atoms (fractional coordinates):
P: 0.0000 0.0000 0.5000  2 La 2.81
Ni: 0.5000 0.5000 0.5000  4 P 3.86, 8 S 3.92
S: 0.5000 0.0000 0.0000  2 La 2.73
S: 0.0000 0.5000 0.0000  2 La 2.73
La: 0.0000 0.0000 0.0000  4 S 2.73, 2 P 2.81

9.
Compound: Tb6Nd2SmHo
Source: Alexandria
Functional: GGA-PBE
Structure: optimized geometry

Space-group type: No. 15
ΔE_f in eV per formula unit: 1.16

a b c (Å): 9.7537 8.8168 8.8168
angles (deg): 118.06 94.53 94.53
Closest atoms and distances in Å follow each position.
Atoms (fractional coordinates):
Sm: 0.2500 0.9819 0.0181  4 Nd 3.38-3.40, 4 Tb 3.61-3.67
Sm: 0.7500 0.0181 0.9819  4 Nd 3.38-3.40, 4 Tb 3.61-3.67
Ho: 0.7500 0.5928 0.4072  8 Tb 3.43-3.79, 2 Nd 3.57
Ho: 0.2500 0.4072 0.5928  8 Tb 3.43-3.79, 2 Nd 3.57
Tb: 0.3802 0.5054 0.2940  4 Tb 3.25-3.53, 3 Nd 3.28-3.48, 2 Ho 3.43-3.59
Tb: 0.6198 0.4946 0.7060  4 Tb 3.25-3.53, 3 Nd 3.28-3.48, 2 Ho 3.43-3.59
Tb: 0.8802 0.2940 0.5054  4 Tb 3.25-3.53, 3 Nd 3.28-3.48, 2 Ho 3.43-3.59
Tb: 0.9431 0.8768 0.2567  8 Tb 3.42-3.80, 1 Nd 3.55, 1 Sm 3.67, 1 Ho 3.79
Tb: 0.3131 0.9800 0.4266  2 Tb 3.25-3.59, 1 Nd 3.42, 1 Ho 3.47, 1 Sm 3.61
Tb: 0.6869 0.0200 0.5734  2 Tb 3.25-3.59, 1 Nd 3.42, 1 Ho 3.47, 1 Sm 3.61
Tb: 0.1198 0.7060 0.4946  4 Tb 3.25-3.53, 3 Nd 3.28-3.48, 2 Ho 3.43-3.59
Tb: 0.0569 0.1232 0.7433  8 Tb 3.42-3.80, 1 Nd 3.55, 1 Sm 3.67, 1 Ho 3.79
Tb: 0.4431 0.2567 0.8768  8 Tb 3.42-3.80, 1 Nd 3.55, 1 Sm 3.67, 1 Ho 3.79
Tb: 0.5569 0.7433 0.1232  8 Tb 3.42-3.80, 1 Nd 3.55, 1 Sm 3.67, 1 Ho 3.79
Tb: 0.1869 0.5734 0.0200  2 Tb 3.25-3.59, 1 Nd 3.42, 1 Ho 3.47, 1 Sm 3.61
Tb: 0.8131 0.4266 0.9800  2 Tb 3.25-3.59, 1 Nd 3.42, 1 Ho 3.47, 1 Sm 3.61
Nd: 0.5422 0.1947 0.2968  5 Tb 3.28-3.55, 2 Sm 3.38-3.40, 1 Ho 3.57
Nd: 0.4578 0.8053 0.7032  5 Tb 3.28-3.55, 2 Sm 3.38-3.40, 1 Ho 3.57
Nd: 0.9578 0.7032 0.8053  5 Tb 3.28-3.55, 2 Sm 3.38-3.40, 1 Ho 3.57
Nd: 0.0422 0.2968 0.1947  5 Tb 3.28-3.55, 2 Sm 3.38-3.40, 1 Ho 3.57

10.
Compound: BaUIr2
Source: Alexandria
Functional: GGA-PBE
Structure: optimized geometry

Space-group type: No. 123
ΔE_f in eV per formula unit: -1.22
Energy above the most stable polymorph in this dataset in meV/atom: 0

a b c (Å): 3.4746 3.4746 7.8237
angles (deg): 90.00 90.00 90.00
Closest atoms and distances in Å follow each position.
Atoms (fractional coordinates):
Ba: 0.5000 0.5000 0.5000  4 Ba 3.47, 8 Ir 3.48
Ir: 0.0000 0.0000 0.8146  4 U 2.85, 1 Ir 2.90
Ir: 0.0000 0.0000 0.1854  4 U 2.85, 1 Ir 2.90
U: 0.5000 0.5000 0.0000  8 Ir 2.85

Respective VASP energy values: -0.2994; -0.5348; -0.4257; -0.4516; -0.3318; -0.3643; -0.2796; -0.3064; -0.3341; -0.5909 Ry per atom.